# 1
This record from the Alexandria database describes CsCd2CoO4 after structural relaxation. The functional is PBE with a Hubbard U.

Unit cell a=5.686 b=5.686 c=8.468 alpha=90.00 beta=90.00 gamma=90.00
Fractional positions:
Cs 0.000 0.000 0.000
Cs 0.500 0.500 0.500
Cd 0.000 0.500 0.250
Cd 0.000 0.500 0.750
Cd 0.500 0.000 0.250
Cd 0.500 0.000 0.750
Co 0.000 0.000 0.500
Co 0.500 0.500 0.000
O 0.180 0.180 0.642
O 0.180 0.820 0.358
O 0.320 0.320 0.142
O 0.320 0.680 0.858
O 0.680 0.320 0.858
O 0.680 0.680 0.142
O 0.820 0.180 0.358
O 0.820 0.820 0.642

Calculated values
total energy: -4.4480 eV per atom
crystal system: tetragonal
calculated volume: 137 Å³/f.u.

# 2
This record from the Alexandria database describes Cs2CdCoO4 after structural relaxation. The functional is PBE with a Hubbard U.

Unit cell a=12.739 b=11.396 c=6.973 alpha=84.14 beta=62.86 gamma=32.99
Fractional positions:
Cs 0.056 0.056 0.694
Cs 0.306 0.306 0.944
Cs 0.694 0.694 0.056
Cs 0.944 0.944 0.306
Cd 0.125 0.125 0.125
Cd 0.875 0.875 0.875
Co 0.375 0.375 0.375
Co 0.625 0.625 0.625
O 0.049 0.632 0.517
O 0.302 0.517 0.632
O 0.368 0.951 0.698
O 0.483 0.698 0.951
O 0.517 0.302 0.049
O 0.632 0.049 0.302
O 0.698 0.483 0.368
O 0.951 0.368 0.483

Calculated values
total energy: -4.4527 eV per atom
crystal system: orthorhombic
calculated volume: 200 Å³/f.u.